# PBE MnSeI, relaxed
data_MnSeI
_chemical_formula_sum 'Mn2 Se2 I2'
_cell_length_a 3.781
_cell_length_b 6.899
_cell_length_c 7.878
_cell_angle_alpha 104.41
_cell_angle_beta 90.32
_cell_angle_gamma 90.03
_symmetry_space_group_name_H-M 'P 1'
_symmetry_Int_Tables_number 1
_symmetry_space_group_name_Hall 'P 1'
loop_
_atom_site_label
_atom_site_type_symbol
_atom_site_fract_x
_atom_site_fract_y
_atom_site_fract_z
Mn1 Mn 0.000 0.000 0.000
Mn2 Mn 0.499 0.612 0.934
Se1 Se 0.497 0.895 0.785
Se2 Se 0.502 0.920 0.184
I1 I 0.001 0.430 0.110
I2 I 0.495 0.359 0.634
# theoretical density	4352	kg/m3
# formation energy without anion corrections	-0.29	eV/atom
# density of states at the Fermi level	1.2	states/eV/cell